MgAl2Re2 PBE-GGA relaxed; space group = P4/mbm, No. 127; relative energy among the computed polymorphs = 0.000 eV per atom; energy of formation = 0.0362 eV/atom; DOS at the Fermi energy = 0.87 states/eV/cell; uncorrected energy = -6.759 eV/atom
1.0
6.723 0.000 0.000
0.000 6.723 0.000
0.000 0.000 3.352
Mg Al Re
2 4 4
Cartesian
0.000 0.000 0.000
3.361 3.361 0.000
0.879 2.482 0.000
2.482 5.844 0.000
4.240 0.879 0.000
5.844 4.240 0.000
1.122 4.483 1.676
2.240 1.122 1.676
4.483 5.601 1.676
5.601 2.240 1.676